Entry from Alexandria: a geometry-optimized KLaRuRh2 structure (PBEsol).

Summary:
As for the total energy: -4.59 eV per atom. For the density of states at the Fermi level, the calculation gives 6.17 states/eV/cell.

Cell lengths 4.494, 4.494, 5.123 Å; angles 90.00, 90.00, 90.00 degrees
Space group P4/mmm (No. 123)
Asymmetric unit:
K (0.000, 0.000, 0.000) [1 per cell]
La (0.000, 0.000, 0.500) [1 per cell]
Ru (0.500, 0.500, 0.500) [1 per cell]
Rh (0.000, 0.500, 0.000) [2 per cell]


Entry from Alexandria: a geometry-optimized KLa2Ru structure (PBEsol).

Summary:
As for the energy relative to the lowest polymorph listed for this composition: 692 meV per atom. As for the total energy: -4.87 eV per atom. For the density of states at the Fermi level, the calculation gives 7.58 states/eV/cell.

Cell lengths 4.325, 4.325, 10.809 Å; angles 90.00, 90.00, 90.00 degrees
Space group I-4m2 (No. 119)
Asymmetric unit:
K (0.000, 0.000, 0.000) [2 per cell]
La (0.000, 0.000, 0.500) [2 per cell]
La (0.000, 0.500, 0.250) [2 per cell]
Ru (0.000, 0.500, 0.750) [2 per cell]


Entry from Alexandria: a geometry-optimized KLa3Ru structure (PBEsol).

Summary:
As for the total energy: -3.84 eV per atom. For the density of states at the Fermi level, the calculation gives 6.20 states/eV/cell.

Cell lengths 5.207, 5.207, 5.207 Å; angles 90.00, 90.00, 90.00 degrees
Space group Pm-3m (No. 221)
Asymmetric unit:
K (0.000, 0.000, 0.000) [1 per cell]
La (0.000, 0.000, 0.500) [3 per cell]
Ru (0.500, 0.500, 0.500) [1 per cell]


no.,ΔH_f (0 K) (eV per atom)
1,1.993
2,0.627
3,1.626